# Ag2GeTeCl | the Alexandria database | GGA-PBE | optimized geometry
# ΔE_f (raw) = 7.7 kcal/mol of atoms
# DFT total energy = -2.73 eV/atom
# ρ = 5.5 g/cm3
data_Ag2GeTeCl
_chemical_formula_sum 'Ag2 Ge1 Te1 Cl1'
_space_group_name_H-M_alt 'P 4/m m m'
_space_group_IT_number 123
_space_group_name_Hall '-P 4 2'
_cell_length_a 5.082
_cell_length_b 5.082
_cell_length_c 5.309
_cell_angle_alpha 90.00
_cell_angle_beta 90.00
_cell_angle_gamma 90.00
loop_
_atom_site_label
_atom_site_fract_x
_atom_site_fract_y
_atom_site_fract_z
_atom_site_occupancy
Ag1 0.000 0.500 0.000 1
Ge1 0.000 0.000 0.000 1
Te1 0.000 0.000 0.500 1
Cl1 0.500 0.500 0.500 1